## LaY2Al (PBE)

Data for an optimized crystal structure of LaY2Al.

a = 5.074 Å, b = 5.074 Å, c = 6.423 Å
α = 66.73°, β = 66.73°, γ = 60.00°
Fractional positions:
La1 0.491 0.491 0.528
Y1 0.045 0.045 0.864
Y2 0.276 0.276 0.173
Al1 0.688 0.688 0.936

Results
energy of formation from the pure elements: 0.6 kJ per mole of atoms
symmetry: No. 160